The following is a DFT calculation (PBE) of an optimized crystal structure of K2MgAg. Values from VASP.

Results
Fermi-level density of states in states/eV/cell: 1.5
V in Å³/cell: 151.9
Spin magnetization in μB per cell: 0.00
Energy relative to the elements in eV/atom: 0.188

The structure in Quantum ESPRESSO input format:
```
&SYSTEM
  ibrav = 0, nat = 4, ntyp = 3
/
ATOMIC_SPECIES
Ag 107.87 Ag.upf
K 39.10 K.upf
Mg 24.30 Mg.upf
ATOMIC_POSITIONS crystal
Ag 0.000 0.500 0.500
K 0.000 0.000 0.000
K 0.500 0.500 0.000
Mg 0.500 0.000 0.500
CELL_PARAMETERS angstrom
-3.491 2.835 3.690
-4.378 -3.554 -1.430
1.202 -2.804 3.291
```